## CaAcPtRh (GGA-PBE)

Data for crystalline CaAcPtRh at its relaxed geometry.

Summary:
As for the density of states at the Fermi level: 0.7 states/eV per cell. The value obtained for the energy above the lowest structure with this stoichiometry is 0 meV/atom. Its formation energy is -800 meV/atom. The value obtained for the final energy is -5.68 eV/atom. The calculation puts the magnetic moment at 0.000 μB per formula unit.

Cell: 4.092 4.313 5.989 Å, 90.00 109.98 90.00°
Element x y z (fractional)
Pt  0.581  0.500  0.162
Rh  0.422  0.000  0.844
Ac  0.859  0.500  0.717
Ca  0.138  0.000  0.276